A plane-wave DFT calculation with PBE was carried out for a relaxed structure of LaMg2Ge.

V: 25.17 Å³ per atom
E_form: -0.403 eV per atom
VASP energy: -0.1318 Ha/atom
Space group: P4/nmm
Size of the total moment: 0.002 μB per atom

Unit cell a=4.2880 b=4.2880 c=10.9526 alpha=90.00 beta=90.00 gamma=90.00
With the nearest neighbours (Å) after each atom.
Positions (direct):
1 La 0.2500 0.2500 0.2432  4 Ge 3.18, 5 Mg 3.39-3.54
2 La 0.7500 0.7500 0.7568  4 Ge 3.18, 5 Mg 3.39-3.54
3 Mg 0.2500 0.2500 0.9337  1 Ge 2.91
4 Mg 0.2500 0.7500 0.5000  4 Ge 2.83, 4 Mg 3.03
5 Mg 0.7500 0.2500 0.5000  4 Ge 2.83, 4 Mg 3.03
6 Mg 0.7500 0.7500 0.0663  1 Ge 2.91
7 Ge 0.2500 0.2500 0.6683  5 Mg 2.83-2.91
8 Ge 0.7500 0.7500 0.3317  5 Mg 2.83-2.91